Record 1
Below is a relaxed DyZr3Tl3Te8 crystal, with properties calculated at the PBE level.

a = 8.2974 Å, b = 8.2898 Å, c = 9.6647 Å
α = 115.32°, β = 90.01°, γ = 120.02°
Closest atoms and distances in Å follow each position.
Sites, in units of the cell vectors:
Zr 0.5000 0.0000 0.5000  6 Te 2.95-2.97
Te 0.7360 0.4722 0.7082  3 Zr 2.96-2.97
Dy 0.0000 0.0000 0.5000  6 Te 3.07
Te 0.2758 0.0314 0.2871  2 Zr 2.95, 1 Dy 3.07
Tl 0.5000 0.5000 0.0000  6 Te 3.43-3.44
Te 0.2640 0.5278 0.2918  3 Zr 2.96-2.97
Te 0.7557 0.0314 0.2871  2 Zr 2.95, 1 Dy 3.07
Te 0.7557 0.5115 0.2872  2 Zr 2.95, 1 Dy 3.07
Zr 0.5000 0.5000 0.5000  6 Te 2.95-2.96
Te 0.2443 0.9686 0.7129  2 Zr 2.95, 1 Dy 3.07
Te 0.2443 0.4885 0.7128  2 Zr 2.95, 1 Dy 3.07
Zr 0.0000 0.5000 0.5000  6 Te 2.95-2.97
Tl 0.0000 0.0000 0.0000  6 Te 3.43
Te 0.7242 0.9686 0.7129  2 Zr 2.95, 1 Dy 3.07
Tl 0.0000 0.5000 0.0000  6 Te 3.43-3.44

SG	No. 12
formation energy (no corrections)	-0.79	eV/atom

---

Record 2
Below is a relaxed DyTmTe2 crystal, with properties calculated at the PBE level.

a = 5.3221 Å, b = 5.3221 Å, c = 5.3221 Å
α = 60.00°, β = 60.00°, γ = 60.00°
Closest atoms and distances in Å follow each position.
Sites, in units of the cell vectors:
Tm 0.5000 0.5000 0.5000  8 Te 3.26
Dy 0.0000 0.0000 0.0000  8 Te 3.26
Te 0.2500 0.2500 0.2500  4 Dy 3.26, 4 Tm 3.26
Te 0.7500 0.7500 0.7500  4 Dy 3.26, 4 Tm 3.26

SG	No. 225
formation energy (no corrections)	-1.11	eV/atom
ΔE to the lowest computed polymorph	0.152	eV per atom

---

Record 3
Below is a relaxed DyTm2Te3 crystal, with properties calculated at the PBE level.

a = 7.1797 Å, b = 7.1797 Å, c = 8.7484 Å
α = 65.77°, β = 65.77°, γ = 60.00°
Closest atoms and distances in Å follow each position.
Sites, in units of the cell vectors:
Tm 0.8340 0.8340 0.4981  6 Te 3.06-3.07
Te 0.2500 0.9198 0.2500  4 Tm 3.06-3.07, 2 Dy 3.08
Tm 0.6660 0.6660 0.0019  6 Te 3.06-3.07
Dy 0.5000 0.5000 0.5000  6 Te 3.08
Te 0.5802 0.2500 0.2500  4 Tm 3.06-3.07, 2 Dy 3.08
Tm 0.1660 0.1660 0.5019  6 Te 3.06-3.07
Te 0.0802 0.4198 0.7500  4 Tm 3.06-3.07, 2 Dy 3.08
Te 0.7500 0.0802 0.7500  4 Tm 3.06-3.07, 2 Dy 3.08
Te 0.9198 0.5802 0.2500  4 Tm 3.06-3.07, 2 Dy 3.08
Te 0.4198 0.7500 0.7500  4 Tm 3.06-3.07, 2 Dy 3.08
Dy 0.0000 0.0000 0.0000  6 Te 3.08
Tm 0.3340 0.3340 0.9981  6 Te 3.06-3.07

SG	No. 167
formation energy (no corrections)	-1.23	eV/atom
ΔE to the lowest computed polymorph	0.000	eV per atom

---

Record 4
Below is a relaxed DyTm6Te8 crystal, with properties calculated at the PBE level.

a = 8.5749 Å, b = 8.5749 Å, c = 8.5749 Å
α = 60.00°, β = 60.00°, γ = 60.00°
Closest atoms and distances in Å follow each position.
Sites, in units of the cell vectors:
Te 0.2576 0.7424 0.7424  4 Tm 3.03, 1 Dy 3.12
Tm 0.5000 0.0000 0.0000  6 Te 3.03
Tm 0.5000 0.0000 0.5000  6 Te 3.03
Dy 0.0000 0.0000 0.0000  6 Te 3.12
Tm 0.0000 0.0000 0.5000  6 Te 3.03
Te 0.2576 0.7424 0.2576  4 Tm 3.03, 1 Dy 3.12
Te 0.2576 0.2576 0.7424  4 Tm 3.03, 1 Dy 3.12
Te 0.7424 0.7424 0.2576  4 Tm 3.03, 1 Dy 3.12
Te 0.7424 0.2576 0.7424  4 Tm 3.03, 1 Dy 3.12
Tm 0.5000 0.5000 0.0000  6 Te 3.03
Tm 0.0000 0.5000 0.0000  6 Te 3.03
Te 0.7424 0.2576 0.2576  4 Tm 3.03, 1 Dy 3.12
Tm 0.0000 0.5000 0.5000  6 Te 3.03
Te 0.7500 0.7500 0.7500  6 Tm 3.03
Te 0.2500 0.2500 0.2500  6 Tm 3.03

SG	No. 225
formation energy (no corrections)	-1.29	eV/atom